No. 1
VASP calculation (PBE) on a geometry-optimized Ac2Bi4O9 structure.

a = 6.4590 Å, b = 6.4590 Å, c = 15.8327 Å
α = 90.34°, β = 90.34°, γ = 57.16°
Positions (direct):
Ac 0.0053 0.0114 0.1348
Ac 0.0114 0.0053 0.6348
Ac 0.9886 0.9947 0.3652
Ac 0.9947 0.9886 0.8652
Bi 0.3202 0.3339 0.4834
Bi 0.3225 0.3625 0.1943
Bi 0.3339 0.3202 0.9834
Bi 0.3625 0.3225 0.6943
Bi 0.6375 0.6775 0.3057
Bi 0.6661 0.6798 0.0166
Bi 0.6775 0.6375 0.8057
Bi 0.6798 0.6661 0.5166
O 0.0192 0.7143 0.2466
O 0.0446 0.6478 0.5636
O 0.0885 0.3247 0.0811
O 0.2857 0.9808 0.2534
O 0.3004 0.6996 0.7500
O 0.3247 0.0885 0.5811
O 0.3279 0.5863 0.0872
O 0.3522 0.9554 0.9364
O 0.4137 0.6721 0.4128
O 0.5863 0.3279 0.5872
O 0.6478 0.0446 0.0636
O 0.6721 0.4137 0.9128
O 0.6753 0.9115 0.4189
O 0.6996 0.3004 0.2500
O 0.7143 0.0192 0.7466
O 0.9115 0.6753 0.9189
O 0.9554 0.3522 0.4364
O 0.9808 0.2857 0.7534

Properties
Space group: C2/c
Magnetic moment: 0.000 μB/cell


No. 2
VASP calculation (PBE) on a geometry-optimized Ac2BiO6 structure.

a = 6.8524 Å, b = 6.8524 Å, c = 6.8524 Å
α = 143.71°, β = 130.42°, γ = 62.98°
Positions (direct):
Ac 0.1671 0.1671 0.0000
Ac 0.8329 0.8329 0.0000
Bi 0.5000 0.5000 0.0000
O 0.1114 0.3514 0.7600
O 0.3079 0.0000 0.3079
O 0.4086 0.6486 0.7600
O 0.5914 0.3514 0.2400
O 0.6921 0.0000 0.6921
O 0.8886 0.6486 0.2400

Properties
ΔE to the lowest computed polymorph: 28.1 meV/atom
Space group: Immm
Magnetic moment: 1.039 μB/cell


No. 3
VASP calculation (PBE) on a geometry-optimized Ac4Bi3O2 structure.

a = 7.8542 Å, b = 7.8542 Å, c = 10.1222 Å
α = 121.39°, β = 121.39°, γ = 33.59°
Positions (direct):
Ac 0.1197 0.1197 0.4054
Ac 0.3093 0.3093 0.8706
Ac 0.6907 0.6907 0.1294
Ac 0.8803 0.8803 0.5946
Bi 0.0000 0.0000 0.0000
Bi 0.3956 0.3956 0.3091
Bi 0.6044 0.6044 0.6909
O 0.3055 0.3055 0.6291
O 0.6945 0.6945 0.3709

Properties
ΔE to the lowest computed polymorph: 0.0 meV/atom
Space group: C2/m
Magnetic moment: 0.000 μB/cell


No. 4
VASP calculation (PBE) on a geometry-optimized Ac2BiO structure.

a = 4.9748 Å, b = 4.9748 Å, c = 9.6715 Å
α = 90.03°, β = 90.03°, γ = 90.00°
Positions (direct):
Ac 0.2505 0.2505 0.3439
Ac 0.2500 0.7500 0.0000
Ac 0.7500 0.2500 0.0000
Ac 0.7495 0.7495 0.6561
Bi 0.2495 0.2495 0.7098
Bi 0.7505 0.7505 0.2902
O 0.2502 0.2502 0.0803
O 0.7498 0.7498 0.9197

Properties
ΔE to the lowest computed polymorph: 0.0 meV/atom
Space group: C2/m
Magnetic moment: 0.000 μB/cell


No. 5
VASP calculation (PBE) on a geometry-optimized AcBiO3 structure.

a = 8.1464 Å, b = 5.9016 Å, c = 8.2765 Å
α = 90.00°, β = 112.86°, γ = 90.00°
Positions (direct):
Ac 0.1332 0.2235 0.1748
Ac 0.1332 0.2765 0.6748
Ac 0.8668 0.7235 0.3252
Ac 0.8668 0.7765 0.8252
Bi 0.3803 0.7461 0.0244
Bi 0.3803 0.7539 0.5244
Bi 0.6197 0.2461 0.4756
Bi 0.6197 0.2539 0.9756
O 0.1429 0.0042 0.9086
O 0.1429 0.4958 0.4086
O 0.1645 0.5230 0.9743
O 0.1645 0.9770 0.4743
O 0.4171 0.5426 0.7903
O 0.4171 0.9574 0.2903
O 0.5829 0.0426 0.7097
O 0.5829 0.4574 0.2097
O 0.8355 0.0230 0.5257
O 0.8355 0.4770 0.0257
O 0.8571 0.5042 0.5914
O 0.8571 0.9958 0.0914

Properties
Space group: P2_1/c
Magnetic moment: 0.000 μB/cell


No. 6
VASP calculation (PBE) on a geometry-optimized Ac2Bi2O7 structure.

a = 8.1063 Å, b = 8.1063 Å, c = 8.1063 Å
α = 60.00°, β = 60.00°, γ = 60.00°
Positions (direct):
Ac 0.0000 0.0000 0.0000
Ac 0.0000 0.0000 0.5000
Ac 0.0000 0.5000 0.0000
Ac 0.5000 0.0000 0.0000
Bi 0.0000 0.5000 0.5000
Bi 0.5000 0.0000 0.5000
Bi 0.5000 0.5000 0.0000
Bi 0.5000 0.5000 0.5000
O 0.1250 0.1250 0.1250
O 0.1618 0.1618 0.5882
O 0.1618 0.5882 0.1618
O 0.1618 0.5882 0.5882
O 0.4118 0.4118 0.8382
O 0.4118 0.8382 0.4118
O 0.4118 0.8382 0.8382
O 0.5882 0.1618 0.1618
O 0.5882 0.1618 0.5882
O 0.5882 0.5882 0.1618
O 0.8382 0.4118 0.4118
O 0.8382 0.4118 0.8382
O 0.8382 0.8382 0.4118
O 0.8750 0.8750 0.8750

Properties
ΔE to the lowest computed polymorph: 0.0 meV/atom
Space group: Fd-3m
Magnetic moment: 0.000 μB/cell


No. 7
VASP calculation (PBE) on a geometry-optimized Ac2BiO structure.

a = 3.6218 Å, b = 3.6218 Å, c = 8.1454 Å
α = 90.00°, β = 90.00°, γ = 90.00°
Positions (direct):
Ac 0.0000 0.0000 0.2110
Ac 0.0000 0.0000 0.7890
Bi 0.5000 0.5000 0.5000
O 0.5000 0.5000 0.0000

Properties
ΔE to the lowest computed polymorph: 780.7 meV/atom
Space group: P4/mmm
Magnetic moment: 0.000 μB/cell


No. 8
VASP calculation (PBE) on a geometry-optimized Ac2BiO structure.

a = 7.7136 Å, b = 7.7136 Å, c = 7.7136 Å
α = 32.33°, β = 32.33°, γ = 32.33°
Positions (direct):
Ac 0.2321 0.2321 0.2321
Ac 0.7679 0.7679 0.7679
Bi 0.0000 0.0000 0.0000
O 0.5000 0.5000 0.5000

Properties
ΔE to the lowest computed polymorph: 323.9 meV/atom
Space group: R-3m
Magnetic moment: 0.529 μB/cell


No. 9
VASP calculation (PBE) on a geometry-optimized Ac4Bi6O19 structure.

a = 8.4298 Å, b = 8.4298 Å, c = 8.4298 Å
α = 109.47°, β = 109.47°, γ = 109.47°
Positions (direct):
Ac 0.0000 0.0000 0.3111
Ac 0.0000 0.3111 0.0000
Ac 0.3111 0.0000 0.0000
Ac 0.6889 0.6889 0.6889
Bi 0.1733 0.5000 0.6733
Bi 0.3267 0.8267 0.5000
Bi 0.5000 0.3267 0.8267
Bi 0.5000 0.6733 0.1733
Bi 0.6733 0.1733 0.5000
Bi 0.8267 0.5000 0.3267
O 0.0000 0.0000 0.0000
O 0.0000 0.3497 0.3497
O 0.0000 0.6503 0.6503
O 0.0238 0.6676 0.2545
O 0.2307 0.6439 0.9762
O 0.2545 0.0238 0.6676
O 0.3324 0.3561 0.5869
O 0.3497 0.0000 0.3497
O 0.3497 0.3497 0.0000
O 0.3561 0.5869 0.3324
O 0.4131 0.7693 0.7455
O 0.5869 0.3324 0.3561
O 0.6439 0.9762 0.2307
O 0.6503 0.0000 0.6503
O 0.6503 0.6503 0.0000
O 0.6676 0.2545 0.0238
O 0.7455 0.4131 0.7693
O 0.7693 0.7455 0.4131
O 0.9762 0.2307 0.6439

Properties
Space group: I23
Magnetic moment: 0.001 μB/cell


No. 10
VASP calculation (PBE) on a geometry-optimized Ac2BiO6 structure.

a = 6.0330 Å, b = 6.5586 Å, c = 9.7307 Å
α = 90.00°, β = 120.68°, γ = 90.00°
Positions (direct):
Ac 0.2023 0.0803 0.2424
Ac 0.2023 0.4197 0.7424
Ac 0.7977 0.5803 0.2576
Ac 0.7977 0.9197 0.7576
Bi 0.5000 0.0000 0.0000
Bi 0.5000 0.5000 0.5000
O 0.1572 0.1573 0.9484
O 0.1572 0.3427 0.4484
O 0.2608 0.7298 0.9084
O 0.2608 0.7702 0.4084
O 0.4332 0.0835 0.7727
O 0.4332 0.4165 0.2727
O 0.5668 0.5835 0.7273
O 0.5668 0.9165 0.2273
O 0.7392 0.2298 0.5916
O 0.7392 0.2702 0.0916
O 0.8428 0.6573 0.5516
O 0.8428 0.8427 0.0516

Properties
ΔE to the lowest computed polymorph: 0.0 meV/atom
Space group: P2_1/c
Magnetic moment: 2.138 μB/cell


No. 11
VASP calculation (PBE) on a geometry-optimized AcBiO structure.

a = 4.4064 Å, b = 4.4064 Å, c = 8.4189 Å
α = 90.00°, β = 90.00°, γ = 90.00°
Positions (direct):
Ac 0.2500 0.2500 0.1419
Ac 0.7500 0.7500 0.8581
Bi 0.2500 0.2500 0.5583
Bi 0.7500 0.7500 0.4417
O 0.2500 0.7500 0.0000
O 0.7500 0.2500 0.0000

Properties
ΔE to the lowest computed polymorph: 0.0 meV/atom
Space group: P4/nmm
Magnetic moment: 0.000 μB/cell


No. 12
VASP calculation (PBE) on a geometry-optimized AcBiO4 structure.

a = 7.3018 Å, b = 7.3018 Å, c = 7.3018 Å
α = 133.95°, β = 133.95°, γ = 67.17°
Positions (direct):
Ac 0.3750 0.1250 0.2500
Ac 0.6250 0.8750 0.7500
Bi 0.1250 0.3750 0.7500
Bi 0.8750 0.6250 0.2500
O 0.0369 0.2170 0.3241
O 0.2129 0.5369 0.3200
O 0.2830 0.1071 0.8200
O 0.3929 0.7129 0.1759
O 0.6071 0.2871 0.8241
O 0.7170 0.8929 0.1800
O 0.7871 0.4631 0.6800
O 0.9631 0.7830 0.6759

Properties
Space group: I4_1/a
Magnetic moment: 0.000 μB/cell


Number 1: formation energy from raw total energies -1.91 eV/atom. Number 2: formation energy from raw total energies -2.09 eV/atom. Number 3: formation energy from raw total energies -1.80 eV/atom. Number 4: formation energy from raw total energies -1.86 eV/atom. Number 5: formation energy from raw total energies -2.30 eV/atom. Number 6: formation energy from raw total energies -2.15 eV/atom. Number 7: formation energy from raw total energies -1.07 eV/atom. Number 8: formation energy from raw total energies -1.53 eV/atom. Number 9: formation energy from raw total energies -1.74 eV/atom. Number 10: formation energy from raw total energies -2.12 eV/atom. Number 11: formation energy from raw total energies -2.18 eV/atom. Number 12: formation energy from raw total energies -1.94 eV/atom.